Entry from Alexandria: a geometry-optimized Be4ZnBr structure (PBE-GGA).

## Properties
The value obtained for the total magnetization is 0.000 μB per atom. As for the mass density: 4.03 g/cm³. The uncorrected formation energy comes out at 3.8 eV/f.u. The total energy comes out at -2.34 eV per atom.

a = 4.7294 Å, b = 4.7294 Å, c = 4.7294 Å
α = 60.00°, β = 60.00°, γ = 60.00°
Last column: nearest neighbours and their distance in Å.
Element x y z (fractional)
Be 0.3704 0.8889 0.3704  6 Be 2.28-2.45
Be 0.3704 0.3704 0.3704  6 Be 2.28-2.45
Be 0.3704 0.3704 0.8889  6 Be 2.28-2.45
Br 0.7500 0.7500 0.7500  12 Be 2.78, 4 Zn 2.90
Be 0.8889 0.3704 0.3704  6 Be 2.28-2.45
Zn 0.0000 0.0000 0.0000  12 Be 2.76, 4 Br 2.90